[1]
TmTiCoOs, relaxed, DFT PBE-GGA; crystal system = cubic; energy relative to the elements = -301.5 meV per atom
1.0
-2.0447 -3.4500 2.0559
1.5006 -1.4532 3.9933
-2.4385 0.7192 3.7210
Os Ti Tm Co
1 1 1 1
Cartesian
-1.4913 -2.0920 4.8851
-0.7457 -1.0460 2.4425
-2.2370 -3.1380 7.3276
0.0000 0.0000 0.0000



[2]
TiVCo2Os, relaxed, DFT PBE-GGA; crystal system = tetragonal; energy relative to the elements = 1352.0 meV per atom
1.0
-3.9915 -0.8599 -1.7693
0.1448 -4.2485 1.7383
-1.9622 1.4550 3.7195
Co V Os Ti
2 1 1 1
Cartesian
-1.9958 -0.4300 -0.8847
-0.9811 0.7275 1.8598
-2.9045 -1.8267 1.8442
0.0000 0.0000 0.0000
0.0724 -2.1243 0.8691



[3]
Ti2VCoOs, relaxed, DFT PBE-GGA; crystal system = tetragonal; energy relative to the elements = 1059.7 meV per atom
1.0
-2.6079 3.0297 -1.9608
-2.9253 -0.3986 3.2749
2.0730 3.2379 2.2458
V Os Ti Co
1 1 2 1
Cartesian
0.0000 0.0000 0.0000
-1.4627 -0.1993 1.6374
1.0365 1.6190 1.1229
-1.3040 1.5148 -0.9804
-1.7301 2.9345 1.7800



[4]
TiCo2OsW, relaxed, DFT PBE-GGA; crystal system = tetragonal; energy relative to the elements = 1384.0 meV per atom
1.0
-2.7421 -3.0219 -0.0938
2.2363 -2.1370 3.4724
-2.2995 2.0024 2.7133
Os Co W Ti
1 2 1 1
Cartesian
1.1181 -1.0685 1.7362
-1.1498 1.0012 1.3567
-1.3711 -1.5109 -0.0469
-1.4027 -1.5782 3.0459
0.0000 0.0000 0.0000



[5]
Ti5Zn2Co2Os, relaxed, DFT PBE-GGA; crystal system = tetragonal; energy relative to the elements = -231.9 meV per atom
1.0
3.0073 0.0000 0.0000
0.0000 10.1618 0.0000
0.0000 0.0000 10.1618
Zn Ti Co Os
4 10 4 2
Cartesian
0.0000 8.4038 6.8389
0.0000 6.8389 1.7580
0.0000 3.3229 8.4038
0.0000 1.7580 3.3229
1.5036 3.0643 5.7998
1.5036 9.4429 2.0166
1.5036 0.0000 5.0809
1.5036 8.1452 9.4429
1.5036 5.7998 7.0975
1.5036 2.0166 0.7189
1.5036 0.7189 8.1452
1.5036 5.0809 0.0000
1.5036 4.3620 3.0643
1.5036 7.0975 4.3620
0.0000 8.8345 3.7536
0.0000 1.3272 6.4081
0.0000 3.7536 1.3272
0.0000 6.4081 8.8345
0.0000 5.0809 5.0809
0.0000 0.0000 0.0000



[6]
ZrTiCoOs, relaxed, DFT PBE-GGA; crystal system = cubic; energy relative to the elements = -429.6 meV per atom
1.0
-1.0484 1.3903 4.1114
-4.2305 1.0177 1.0015
-2.3492 -2.6483 2.7209
Ti Zr Co Os
1 1 1 1
Cartesian
-1.9070 -0.0601 1.9585
-5.7210 -0.1802 5.8754
0.0000 0.0000 0.0000
-3.8140 -0.1201 3.9169



[7]
TlCo4Os, relaxed, DFT PBE-GGA; crystal system = cubic; energy relative to the elements = 457.3 meV per atom
1.0
0.0000 3.4130 3.4130
3.4130 0.0000 3.4130
3.4130 3.4130 0.0000
Co Os Tl
4 1 1
Cartesian
2.5624 2.5624 2.5624
4.2637 2.5624 4.2637
4.2637 4.2637 2.5624
2.5624 4.2637 4.2637
5.1196 5.1196 5.1196
0.0000 0.0000 0.0000



[8]
Tl2CoOs, relaxed, DFT PBE-GGA; energy above the most stable polymorph in this dataset = 394 meV/atom; crystal system = tetragonal; energy relative to the elements = 996.8 meV per atom
1.0
5.3514 0.0382 0.0000
2.3457 4.8101 0.0000
-3.8486 -2.4241 2.8198
Tl Os Co
2 1 1
Cartesian
1.1728 2.4050 1.4099
0.0000 0.0000 0.0000
2.6757 0.0191 1.4099
3.8486 2.4241 0.0000



[9]
TlCoOs2, relaxed, DFT PBE-GGA; energy above the most stable polymorph in this dataset = 256 meV/atom; crystal system = trigonal; energy relative to the elements = 801.3 meV per atom
1.0
9.2117 -0.0005 -0.0003
8.7787 2.7912 -0.0003
8.7787 1.3618 2.4364
Co Os Tl
1 2 1
Cartesian
20.0768 3.1144 1.8269
0.2914 0.0452 0.0265
13.0932 2.0311 1.1914
6.6923 1.0381 0.6090



[10]
TlCo2Os, relaxed, DFT PBE-GGA; energy above the most stable polymorph in this dataset = 174 meV/atom; crystal system = trigonal; energy relative to the elements = 643.4 meV per atom
1.0
8.7618 0.0005 0.0003
8.3046 2.7933 0.0003
8.3046 1.3595 2.4401
Tl Os Co
1 1 2
Cartesian
19.0282 3.1150 1.8306
6.3427 1.0383 0.6102
12.8588 2.1051 1.2371
25.1975 4.1250 2.4241



[11]
TlCoOs2, relaxed, DFT PBE-GGA; energy above the most stable polymorph in this dataset = 0 meV/atom; crystal system = tetragonal; energy relative to the elements = 545.0 meV per atom
1.0
2.8482 0.0000 0.0000
0.0000 2.8482 0.0000
0.0000 0.0000 7.6177
Tl Co Os
1 1 2
Cartesian
0.0000 0.0000 3.9182
1.4241 1.4241 5.9052
0.0000 0.0000 7.5724
1.4241 1.4241 1.6485



[12]
TlCoOs, relaxed, DFT PBE-GGA; energy above the most stable polymorph in this dataset = 123 meV/atom; crystal system = trigonal; energy relative to the elements = 774.5 meV per atom
1.0
2.8928 0.0000 0.0000
-1.4464 2.5052 0.0000
0.0000 0.0000 6.6425
Os Co Tl
1 1 1
Cartesian
0.0000 1.6701 1.9757
0.0000 0.0000 0.1502
1.4464 0.8351 4.5166



[13]
TlCoOs2, relaxed, DFT PBE-GGA; energy above the most stable polymorph in this dataset = 417 meV/atom; crystal system = orthorhombic; energy relative to the elements = 961.7 meV per atom
1.0
-1.0415 -2.2317 1.3085
1.5928 -0.3701 -2.2591
7.8091 -0.3797 5.5683
Os Co Tl
2 1 1
Cartesian
7.5331 -0.3662 5.3715
4.1805 -0.2032 2.9809
6.1325 -1.5856 3.7009
2.2279 -1.3958 0.9168



[14]
Tl2Co2Os, relaxed, DFT PBE-GGA; energy above the most stable polymorph in this dataset = 0 meV/atom; crystal system = tetragonal; energy relative to the elements = 880.1 meV per atom
1.0
-1.5606 -0.7433 -2.7619
-0.7937 -2.9102 1.2317
-8.1259 1.3664 2.3018
Tl Co Os
2 2 1
Cartesian
-2.6770 -1.1375 -0.1031
-7.8031 -1.1496 0.8747
-5.4318 -0.6018 -0.6126
-5.0483 -1.6853 1.3842
0.0000 0.0000 0.0000



[15]
TlCo2Os, relaxed, DFT PBE-GGA; energy above the most stable polymorph in this dataset = 329 meV/atom; crystal system = cubic; energy relative to the elements = 798.5 meV per atom
1.0
-0.6332 -1.9980 -3.8515
-1.9445 -3.9277 -0.1389
-4.0523 -0.3838 -1.6307
Co Os Tl
2 1 1
Cartesian
0.0000 0.0000 0.0000
-1.6575 -1.5774 -1.4053
-3.3150 -3.1547 -2.8106
-4.9725 -4.7321 -4.2159



[16]
Tl4CoOs, relaxed, DFT PBE-GGA; crystal system = cubic; energy relative to the elements = 1520.9 meV per atom
1.0
0.0000 4.2424 4.2424
4.2424 0.0000 4.2424
4.2424 4.2424 0.0000
Tl Os Co
4 1 1
Cartesian
3.1799 3.1799 3.1799
5.3049 5.3049 3.1799
5.3049 3.1799 5.3049
3.1799 5.3049 5.3049
0.0000 0.0000 0.0000
6.3636 6.3636 6.3636



[17]
TlCoOs3, relaxed, DFT PBE-GGA; energy above the most stable polymorph in this dataset = 0 meV/atom; crystal system = cubic; energy relative to the elements = 1841.8 meV per atom
1.0
4.4941 0.0000 0.0000
0.0000 4.4941 0.0000
0.0000 0.0000 4.4941
Co Os Tl
1 3 1
Cartesian
0.0000 0.0000 0.0000
0.0000 2.2471 0.0000
0.0000 0.0000 2.2471
2.2471 0.0000 0.0000
2.2471 2.2471 2.2471



[18]
TlCo2Os, relaxed, DFT PBE-GGA; energy above the most stable polymorph in this dataset = 313 meV/atom; crystal system = orthorhombic; energy relative to the elements = 782.3 meV per atom
1.0
-3.3584 3.0186 -2.3797
-4.5378 0.3930 2.3038
5.0180 0.7812 0.5123
Co Tl Os
2 1 1
Cartesian
-4.0615 1.7548 -0.0390
-7.7829 3.3626 -0.0748
-1.7339 1.4400 1.3891
-1.1442 2.7528 -0.9526



[19]
TlCoOs, relaxed, DFT PBE-GGA; energy above the most stable polymorph in this dataset = 236 meV/atom; crystal system = hexagonal; energy relative to the elements = 886.9 meV per atom
1.0
4.2344 0.0000 0.0000
-2.1172 3.6671 0.0000
0.0000 0.0000 3.2078
Co Os Tl
1 1 1
Cartesian
0.0000 0.0000 0.5358
2.1172 1.2224 0.5339
0.0000 2.4447 2.1381



[20]
Tl2CoOs, relaxed, DFT PBE-GGA; energy above the most stable polymorph in this dataset = 199 meV/atom; crystal system = orthorhombic; energy relative to the elements = 802.1 meV per atom
1.0
-4.0167 -3.2140 3.7513
0.9667 -2.6603 5.7030
-0.1436 4.9283 -4.0283
Tl Os Co
2 1 1
Cartesian
-2.7207 -0.3764 1.8469
-3.0201 -5.8167 9.3616
-0.5435 -0.7053 3.7977
-1.4844 -2.8589 4.6013